# 1
Computed, not measured: GdEr2Sn3IrPd2 after structural relaxation at the PBE level of DFT.

The space group is Amm2 (No. 38) and the conventional cell measures 3.8583, 13.2197 and 7.6185 Å, with angles of 90.00, 90.00 and 90.00 degrees. The asymmetric unit holds Gd at (0.0000, 0.0000, 0.0000), Er at (0.0000, 0.1996, 0.6001), Sn at (0.5000, 0.0000, 0.6615), Sn at (0.5000, 0.1305, 0.2711), Ir at (0.0000, 0.0000, 0.4033) and Pd at (0.5000, 0.1688, 0.8998).

Its calculated volume is 21.59 Å³/atom. For the spin magnetization, the calculation gives 0.01 μB per formula unit. The calculation puts the calculated total energy at -5.917 eV/atom.

=====

# 2
Computed, not measured: Gd2ErSn3Ir2Pd after structural relaxation at the PBE level of DFT.

The space group is Amm2 (No. 38) and the conventional cell measures 3.9314, 13.0659 and 7.5658 Å, with angles of 90.00, 90.00 and 90.00 degrees. The asymmetric unit holds Gd at (0.0000, 0.2051, 0.0000), Er at (0.0000, 0.0000, 0.6162), Sn at (0.5000, 0.0000, 0.9423), Sn at (0.5000, 0.1314, 0.3375), Ir at (0.5000, 0.1648, 0.7048) and Pd at (0.0000, 0.0000, 0.2083).

Its calculated volume is 21.59 Å³/atom. For the spin magnetization, the calculation gives 0.00 μB per formula unit. The calculation puts the calculated total energy at -6.280 eV/atom.

=====

# 3
Computed, not measured: GdErSn2Ir after structural relaxation at the PBE level of DFT.

The space group is C2/m (No. 12) and the conventional cell measures 10.9306, 4.5140 and 10.8945 Å, with angles of 90.00, 115.79 and 90.00 degrees. The asymmetric unit holds Gd at (0.1876, 0.0000, 0.1278), Er at (0.0017, 0.0000, 0.6706), Sn at (0.0289, 0.5000, 0.8814), Sn at (0.1539, 0.5000, 0.5470) and Ir at (0.2265, 0.5000, 0.3268).

Its calculated volume is 24.20 Å³/atom. For the spin magnetization, the calculation gives 0.00 μB per formula unit. The calculation puts the calculated total energy at -5.996 eV/atom.